Below is BeSe3F after structural relaxation, with properties calculated at the GGA-PBE level.

a = 4.4871 Å, b = 4.4871 Å, c = 4.4871 Å
α = 90.00°, β = 90.00°, γ = 90.00°
Space group Pm-3m (No. 221)
One atom of each set of equivalent atoms:
Be 0.0000 0.0000 0.0000 (multiplicity 1)
Se 0.0000 0.0000 0.5000 (multiplicity 3)
F 0.5000 0.5000 0.5000 (multiplicity 1)

Summary:
Formation energy (no corrections) = 0.127 eV/atom
D(E_F) = 3.06 states/eV/f.u.
E above lowest polymorph = 0 meV/atom



Below is Nb2VFe2 after structural relaxation, with properties calculated at the GGA-PBE level.

a = 5.9441 Å, b = 5.9441 Å, c = 4.1226 Å
α = 90.00°, β = 90.00°, γ = 90.00°
Space group P4/mbm (No. 127)
One atom of each set of equivalent atoms:
Nb 0.1812 0.3188 0.0000 (multiplicity 4)
V 0.0000 0.0000 0.5000 (multiplicity 2)
Fe 0.1379 0.6379 0.5000 (multiplicity 4)

Summary:
D(E_F) = 5.53 states/eV/f.u.
Formation energy = 0.03 eV per atom



Below is CsMg2FeH after structural relaxation, with properties calculated at the GGA-PBE level.

a = 4.5875 Å, b = 4.5875 Å, c = 5.4232 Å
α = 90.00°, β = 90.00°, γ = 90.00°
Space group P4/mmm (No. 123)
One atom of each set of equivalent atoms:
Cs 0.0000 0.0000 0.0000 (multiplicity 1)
Mg 0.0000 0.5000 0.5000 (multiplicity 2)
Fe 0.5000 0.5000 0.0000 (multiplicity 1)
H 0.0000 0.0000 0.5000 (multiplicity 1)

Summary:
D(E_F) = 5.42 states/eV/f.u.
E = -2.402 eV per atom



Below is Th2IrRh after structural relaxation, with properties calculated at the GGA-PBE level.

a = 4.0098 Å, b = 4.0098 Å, c = 25.2429 Å
α = 90.00°, β = 90.00°, γ = 120.00°
Space group R-3m (No. 166, hexagonal axes)
One atom of each set of equivalent atoms:
Th 0.0000 0.0000 0.1007 (multiplicity 6)
Ir 0.0000 0.0000 0.5000 (multiplicity 3)
Rh 0.0000 0.0000 0.0000 (multiplicity 3)

Summary:
D(E_F) = 2.97 states/eV/f.u.
Formation energy = -0.27 eV per atom



Below is La7Pr2Cd2 after structural relaxation, with properties calculated at the GGA-PBE level.

a = 3.7750 Å, b = 17.8627 Å, c = 11.6160 Å
α = 90.00°, β = 90.00°, γ = 90.00°
Space group Imm2 (No. 44)
One atom of each set of equivalent atoms:
La 0.0000 0.0000 0.0000 (multiplicity 2)
La 0.0000 0.1058 0.5597 (multiplicity 4)
La 0.0000 0.3217 0.3107 (multiplicity 4)
La 0.0000 0.3499 0.7816 (multiplicity 4)
Pr 0.0000 0.2196 0.0470 (multiplicity 4)
Cd 0.0000 0.0000 0.3045 (multiplicity 2)
Cd 0.0000 0.5000 0.2497 (multiplicity 2)

Summary:
D(E_F) = 14.12 states/eV/f.u.
Formation energy = -0.01 eV per atom
E above lowest polymorph = 0 meV/atom



Below is Pm6Co2Pt after structural relaxation, with properties calculated at the GGA-PBE level.

a = 9.5994 Å, b = 9.6811 Å, c = 9.8630 Å
α = 90.00°, β = 90.00°, γ = 90.00°
Space group Immm (No. 71)
One atom of each set of equivalent atoms:
Pm 0.0000 0.1857 0.2460 (multiplicity 8)
Pm 0.1837 0.5000 0.1725 (multiplicity 8)
Pm 0.2261 0.3230 0.5000 (multiplicity 8)
Co 0.0000 0.3296 0.0000 (multiplicity 4)
Co 0.0000 0.5000 0.3866 (multiplicity 4)
Pt 0.0000 0.0000 0.0000 (multiplicity 2)
Pt 0.0000 0.0000 0.5000 (multiplicity 2)

Summary:
D(E_F) = 8.88 states/eV/f.u.
Formation energy = -0.31 eV per atom



Below is HgH3O after structural relaxation, with properties calculated at the GGA-PBE level.

a = 3.6933 Å, b = 3.6933 Å, c = 3.6933 Å
α = 90.00°, β = 90.00°, γ = 90.00°
Space group Pm-3m (No. 221)
One atom of each set of equivalent atoms:
Hg 0.0000 0.0000 0.0000 (multiplicity 1)
H 0.0000 0.0000 0.5000 (multiplicity 3)
O 0.5000 0.5000 0.5000 (multiplicity 1)

Summary:
D(E_F) = 4.06 states/eV/f.u.
E above lowest polymorph = 72 meV/atom



Below is Dy2Er3Pt4 after structural relaxation, with properties calculated at the GGA-PBE level.

a = 7.6172 Å, b = 7.6648 Å, c = 7.5012 Å
α = 90.00°, β = 109.84°, γ = 90.00°
Space group P2_1/c (No. 14)
One atom of each set of equivalent atoms:
Dy 0.1933 0.1796 0.0726 (multiplicity 4)
Er 0.2439 0.6666 0.2460 (multiplicity 4)
Er 0.5000 0.0000 0.5000 (multiplicity 2)
Pt 0.0863 0.5353 0.8501 (multiplicity 4)
Pt 0.4891 0.1361 0.8675 (multiplicity 4)

Summary:
D(E_F) = 5.01 states/eV/f.u.
Formation energy = -1.21 eV per atom
E above lowest polymorph = 0 meV/atom